! NbSn GGA-PBE relaxed; values from VASP
&SYSTEM
  ibrav = 0, nat = 2, ntyp = 2
/
ATOMIC_SPECIES
Sn 118.71 Sn.upf
Nb 92.91 Nb.upf
ATOMIC_POSITIONS crystal
Sn 0.500 0.500 0.500
Nb 0.000 0.000 0.000
CELL_PARAMETERS angstrom
0.000 2.818 2.818
2.818 0.000 2.818
2.818 2.818 0.000
! Energy = -13.3 eV per cell